Entry 1:
Crystalline CeZn2Co2 at its relaxed geometry. Source: Alexandria, functional GGA-PBE.

Properties
**Symmetry**: C2/m (12)
**ΔE to the lowest computed polymorph**: 0.000 eV per atom
**Energy of formation**: -14 kJ/mol of atoms

a b c (Å): 4.401 4.953 4.306
angles (deg): 88.94 120.72 90.00
Sites, in units of the cell vectors:
Co  0.672  0.116  0.344
Zn  0.333  0.393  0.667
Co  0.328  0.884  0.656
Ce  0.000  0.000  0.000
Zn  0.667  0.607  0.333

Entry 2:
Crystalline PuTh3Al8 at its relaxed geometry. Source: Alexandria, functional GGA-PBE.

Properties
**Symmetry**: R3m (160)
**Energy of formation**: -40 kJ/mol of atoms

a b c (Å): 5.662 5.662 9.752
angles (deg): 73.12 73.12 60.00
Last column: magnetic moment on the atom in μB.
Sites, in units of the cell vectors:
Al  0.937  0.438  0.687  0.00
Th  0.503  0.503  0.490  0.23
Al  0.687  0.687  0.938  0.00
Th  0.996  0.996  0.011  0.04
Al  0.438  0.937  0.687  0.00
Al  0.938  0.437  0.188  -0.01
Th  0.375  0.375  0.874  0.00
Al  0.188  0.188  0.436  -0.01
Al  0.437  0.938  0.188  -0.01
Al  0.437  0.437  0.188  -0.01
Pu  0.875  0.875  0.375  5.45
Al  0.937  0.937  0.687  0.00

Entry 3:
Crystalline LaRu3Cl at its relaxed geometry. Source: Alexandria, functional GGA-PBE.

Properties
**Symmetry**: Pm-3m (221)
**ΔE_f (raw)**: 1.87 eV per atom

a b c (Å): 4.975 4.975 4.975
angles (deg): 90.00 90.00 90.00
Last column: magnetic moment on the atom in μB.
Sites, in units of the cell vectors:
Ru  0.000  0.000  0.500  1.38
Ru  0.500  0.000  0.000  1.49
La  0.000  0.000  0.000  -0.14
Cl  0.500  0.500  0.500  0.12
Ru  0.000  0.500  0.000  1.58

Entry 4:
Crystalline AcInAg at its relaxed geometry. Source: Alexandria, functional GGA-PBE.

Properties
**Symmetry**: C2/m (12)
**ΔE to the lowest computed polymorph**: 0.005 eV per atom
**Energy of formation**: -38 kJ/mol of atoms

a b c (Å): 5.006 6.231 6.552
angles (deg): 77.86 67.54 66.32
Sites, in units of the cell vectors:
Ac  0.461  0.780  0.297
Ac  0.539  0.220  0.703
Ag  0.164  0.382  0.289
In  0.166  0.778  0.890
In  0.834  0.222  0.110
Ag  0.836  0.618  0.711

Entry 5:
Crystalline BH2S2 at its relaxed geometry. Source: Alexandria, functional GGA-PBE.

Properties
**Symmetry**: C2/m (12)

a b c (Å): 8.078 4.466 6.478
angles (deg): 88.55 90.00 154.73
Sites, in units of the cell vectors:
B  0.000  0.000  0.000
S  0.739  0.478  0.226
H  0.389  0.778  0.145
H  0.611  0.222  0.855
S  0.261  0.522  0.774

Entry 6:
Crystalline DyPuS2 at its relaxed geometry. Source: Alexandria, functional GGA-PBE.

Properties
**Symmetry**: P4/nmm (129)
**ΔE to the lowest computed polymorph**: 0.010 eV per atom
**ΔE_f (raw)**: -1.90 eV per atom

a b c (Å): 3.928 3.927 11.123
angles (deg): 90.00 90.00 90.00
Last column: magnetic moment on the atom in μB.
Sites, in units of the cell vectors:
S  0.201  0.983  0.987  -0.01
Pu  0.201  0.983  0.734  5.33
S  0.201  0.984  0.484  -0.11
Pu  0.701  0.484  0.482  5.33
Dy  0.701  0.483  0.980  0.03
S  0.701  0.483  0.732  -0.11
Dy  0.201  0.983  0.236  0.03
S  0.701  0.483  0.229  -0.01

Entry 7:
Crystalline LaBeCo at its relaxed geometry. Source: Alexandria, functional GGA-PBE.

Properties
**Symmetry**: I4/mmm (139)
**ΔE to the lowest computed polymorph**: 0.000 eV per atom
**Energy of formation**: -12 kJ/mol of atoms

a b c (Å): 4.033 4.033 7.419
angles (deg): 105.77 105.77 90.00
Sites, in units of the cell vectors:
Co  0.000  0.500  0.000
La  0.647  0.647  0.294
Co  0.500  0.000  0.000
La  0.353  0.353  0.706
Be  0.924  0.924  0.848
Be  0.076  0.076  0.152

Entry 8:
Crystalline Tl2ZnSbO4 at its relaxed geometry. Source: Alexandria, functional GGA-PBE.

Properties
**Symmetry**: P1 (1)
**ΔE_f (raw)**: -1.01 eV per atom

a b c (Å): 5.814 6.353 6.057
angles (deg): 125.14 121.52 87.58
Sites, in units of the cell vectors:
O  0.379  0.783  0.308
O  0.751  0.489  0.123
Tl  0.265  0.250  0.521
Sb  0.764  0.759  0.524
O  0.015  0.117  0.715
Tl  0.517  0.012  0.020
O  0.708  0.489  0.589
Zn  0.989  0.489  0.974

Entry 9:
Crystalline Al2TcNi at its relaxed geometry. Source: Alexandria, functional GGA-PBE.

Properties
**Symmetry**: P2/m (10)
**Energy of formation**: -29 kJ/mol of atoms

a b c (Å): 4.001 2.690 5.103
angles (deg): 83.90 90.00 90.00
Sites, in units of the cell vectors:
Tc  0.500  0.750  0.750
Ni  0.500  0.250  0.250
Al  0.000  0.409  0.497
Al  0.000  0.091  0.003

Entry 10:
Crystalline CeAsH2Ir at its relaxed geometry. Source: Alexandria, functional GGA-PBE.

Properties
**Symmetry**: Cmcm (63)

a b c (Å): 4.267 5.502 6.091
angles (deg): 90.00 90.00 112.82
Last column: magnetic moment on the atom in μB.
Sites, in units of the cell vectors:
H  0.163  0.326  0.932  0.00
H  0.837  0.674  0.068  0.00
Ir  0.000  0.000  0.000  -0.03
As  0.572  0.145  0.250  -0.02
As  0.428  0.855  0.750  -0.02
Ce  0.707  0.413  0.750  0.52
Ce  0.293  0.587  0.250  0.52
H  0.163  0.326  0.568  0.00
Ir  0.000  0.000  0.500  -0.03
H  0.837  0.674  0.432  0.00

Entry 11:
Crystalline Tb3DyTl3 at its relaxed geometry. Source: Alexandria, functional GGA-PBE.

Properties
**Symmetry**: P6_3/m (176)
**ΔE to the lowest computed polymorph**: 0.037 eV per atom
**Energy of formation**: -21 kJ/mol of atoms

a b c (Å): 5.245 9.435 9.435
angles (deg): 120.00 90.00 90.00
Sites, in units of the cell vectors:
Tl  0.750  0.621  0.071
Tb  0.250  0.236  0.234
Tl  0.250  0.379  0.929
Dy  0.250  0.667  0.333
Tl  0.250  0.071  0.450
Tl  0.750  0.929  0.550
Tl  0.750  0.450  0.379
Tb  0.250  0.766  0.002
Dy  0.750  0.333  0.667
Tb  0.750  0.764  0.766
Tl  0.250  0.550  0.621
Tb  0.250  0.998  0.764
Tb  0.750  0.234  0.998
Tb  0.750  0.002  0.236

Entry 12:
Crystalline Ce3SbP2Rh8 at its relaxed geometry. Source: Alexandria, functional GGA-PBE.

Properties
**Symmetry**: P-3m1 (164)
**ΔE_f (raw)**: -0.58 eV per atom

a b c (Å): 5.704 5.704 9.281
angles (deg): 90.00 90.00 120.00
Last column: magnetic moment on the atom in μB.
Sites, in units of the cell vectors:
Rh  0.667  0.333  0.964  -0.02
Ce  0.333  0.667  0.777  0.01
Rh  0.165  0.835  0.276  0.00
P  0.667  0.333  0.553  0.01
Ce  0.667  0.333  0.223  0.01
Rh  0.835  0.165  0.724  0.00
Rh  0.330  0.165  0.724  0.00
Rh  0.670  0.835  0.276  0.00
P  0.333  0.667  0.447  0.01
Rh  0.835  0.670  0.724  0.00
Rh  0.165  0.330  0.276  0.00
Rh  0.333  0.667  0.036  -0.02
Ce  0.000  0.000  0.000  0.35
Sb  0.000  0.000  0.500  0.00

Entry 13:
Crystalline TlSbBr2 at its relaxed geometry. Source: Alexandria, functional GGA-PBE.

Properties
**Symmetry**: Imm2 (44)
**ΔE_f (raw)**: -0.21 eV per atom

a b c (Å): 7.767 7.767 7.767
angles (deg): 152.12 143.88 46.23
Sites, in units of the cell vectors:
Br  0.990  0.990  0.000
Br  0.706  0.206  0.500
Tl  0.301  0.801  0.500
Sb  0.504  0.504  0.000

Entry 14:
Crystalline Ce3AgIr at its relaxed geometry. Source: Alexandria, functional GGA-PBE.

Properties
**Symmetry**: P-1 (2)
**Energy of formation**: -31 kJ/mol of atoms

a b c (Å): 5.494 5.715 8.550
angles (deg): 108.83 85.56 108.66
Last column: magnetic moment on the atom in μB.
Sites, in units of the cell vectors:
Ce  0.870  0.731  0.392  0.44
Ce  0.689  0.262  0.974  0.30
Ce  0.164  0.346  0.296  0.48
Ag  0.577  0.114  0.368  0.00
Ir  0.828  0.812  0.071  -0.03
Ce  0.311  0.738  0.026  0.30
Ce  0.130  0.269  0.608  0.44
Ag  0.423  0.886  0.632  0.00
Ce  0.836  0.654  0.704  0.48
Ir  0.172  0.188  0.929  -0.03

Entry 15:
Crystalline CuAgAs2 at its relaxed geometry. Source: Alexandria, functional GGA-PBE.

Properties
**Symmetry**: P4mm (99)
**ΔE to the lowest computed polymorph**: 0.095 eV per atom
**Energy of formation**: 25 kJ/mol of atoms

a b c (Å): 3.741 3.741 5.204
angles (deg): 90.00 90.00 90.00
Sites, in units of the cell vectors:
As  0.000  0.000  0.039
Cu  0.000  0.000  0.531
Ag  0.500  0.500  0.711
As  0.500  0.500  0.219

Entry 16:
Crystalline SrGePbO4 at its relaxed geometry. Source: Alexandria, functional GGA-PBE.

Properties
**Symmetry**: P2_12_12_1 (19)
**ΔE to the lowest computed polymorph**: 0.000 eV per atom
**ΔE_f (raw)**: -1.99 eV per atom

a b c (Å): 6.089 7.421 10.085
angles (deg): 90.00 90.00 90.00
Sites, in units of the cell vectors:
O  0.608  0.738  0.048
O  0.956  0.437  0.068
Sr  0.018  0.250  0.293
O  0.544  0.563  0.568
O  0.892  0.262  0.548
O  0.392  0.238  0.452
Ge  0.975  0.037  0.588
O  0.044  0.937  0.432
Sr  0.518  0.250  0.707
O  0.789  0.511  0.807
O  0.289  0.989  0.193
Pb  0.569  0.439  0.091
Pb  0.069  0.061  0.909
O  0.211  0.011  0.693
O  0.752  0.051  0.176
Ge  0.025  0.537  0.912
Ge  0.475  0.463  0.412
O  0.456  0.063  0.932
O  0.252  0.449  0.824
O  0.748  0.949  0.676
O  0.108  0.762  0.952
Ge  0.525  0.963  0.088
Sr  0.982  0.750  0.207
O  0.248  0.551  0.324
O  0.711  0.489  0.307
Sr  0.482  0.750  0.793
Pb  0.931  0.561  0.591
Pb  0.431  0.939  0.409

Entry 17:
Crystalline ZrTiGa3 at its relaxed geometry. Source: Alexandria, functional GGA-PBE.

Properties
**Symmetry**: Pm-3m (221)
**ΔE to the lowest computed polymorph**: 1.006 eV per atom
**Energy of formation**: 75 kJ/mol of atoms

a b c (Å): 5.059 5.059 5.059
angles (deg): 90.00 90.00 90.00
Last column: magnetic moment on the atom in μB.
Sites, in units of the cell vectors:
Ga  0.000  0.500  0.000  -0.05
Zr  0.000  0.000  0.000  -0.16
Ga  0.000  0.000  0.500  -0.01
Ga  0.500  0.000  0.000  -0.03
Ti  0.500  0.500  0.500  1.41

Entry 18:
Crystalline AcBPt6 at its relaxed geometry. Source: Alexandria, functional GGA-PBE.

Properties
**Symmetry**: P4/mmm (123)
**ΔE to the lowest computed polymorph**: 0.159 eV per atom
**Energy of formation**: -36 kJ/mol of atoms

a b c (Å): 3.933 3.933 9.258
angles (deg): 90.00 90.00 90.00
Sites, in units of the cell vectors:
Pt  0.000  0.500  0.357
Pt  0.500  0.000  0.357
Pt  0.500  0.000  0.643
Pt  0.500  0.500  0.146
Pt  0.000  0.500  0.643
B  0.000  0.000  0.500
Ac  0.000  0.000  0.000
Pt  0.500  0.500  0.854

Entry 19:
Crystalline TbNdSc2 at its relaxed geometry. Source: Alexandria, functional GGA-PBE.

Properties
**Symmetry**: R3m (160)
**ΔE to the lowest computed polymorph**: 0.024 eV per atom
**Energy of formation**: 7 kJ/mol of atoms

a b c (Å): 3.467 3.467 11.251
angles (deg): 81.14 81.14 60.00
Sites, in units of the cell vectors:
Tb  0.666  0.666  0.001
Sc  0.251  0.251  0.246
Sc  0.082  0.082  0.755
Nd  0.500  0.500  0.499

Entry 20:
Crystalline Ac2LaSm7 at its relaxed geometry. Source: Alexandria, functional GGA-PBE.

Properties
**Symmetry**: Cmmm (65)
**Energy of formation**: 42 kJ/mol of atoms

a b c (Å): 3.616 10.761 10.761
angles (deg): 110.22 90.00 90.00
Sites, in units of the cell vectors:
Sm  0.000  0.340  0.660
Sm  0.000  0.660  0.340
La  0.000  0.000  0.000
Sm  0.500  0.616  0.859
Sm  0.500  0.500  0.500
Sm  0.500  0.384  0.141
Sm  0.500  0.141  0.384
Sm  0.500  0.859  0.616
Ac  0.500  0.821  0.179
Ac  0.500  0.179  0.821

Entry 21:
Crystalline Nd4Cu3Ni at its relaxed geometry. Source: Alexandria, functional GGA-PBE.

Properties
**Symmetry**: Pmm2 (25)
**ΔE to the lowest computed polymorph**: 0.009 eV per atom
**Energy of formation**: -21 kJ/mol of atoms

a b c (Å): 3.900 4.488 10.670
angles (deg): 90.00 90.00 90.00
Sites, in units of the cell vectors:
Cu  0.000  0.500  0.565
Cu  0.000  0.000  0.432
Ni  0.500  0.500  0.068
Nd  0.000  0.500  0.867
Nd  0.500  0.500  0.353
Cu  0.500  0.000  0.934
Nd  0.000  0.000  0.139
Nd  0.500  0.000  0.642

Entry 22:
Crystalline Li2IrAu at its relaxed geometry. Source: Alexandria, functional GGA-PBE.

Properties
**Symmetry**: P4/mmm (123)
**Energy of formation**: -22 kJ/mol of atoms

a b c (Å): 2.704 2.704 7.948
angles (deg): 90.00 90.00 90.00
Sites, in units of the cell vectors:
Ir  0.500  0.500  0.750
Li  0.000  0.000  0.511
Au  0.500  0.500  0.250
Li  0.000  0.000  0.989

Entry 23:
Crystalline Ce2Al at its relaxed geometry. Source: Alexandria, functional GGA-PBE.

Properties
**Symmetry**: Cmcm (63)
**Energy of formation**: -19 kJ/mol of atoms

a b c (Å): 4.465 4.393 7.948
angles (deg): 106.05 90.00 90.00
Last column: magnetic moment on the atom in μB.
Sites, in units of the cell vectors:
Ce  0.250  0.558  0.115  0.37
Al  0.750  0.096  0.192  -0.01
Ce  0.750  0.743  0.485  0.32
Al  0.250  0.904  0.808  -0.01
Ce  0.250  0.257  0.515  0.32
Ce  0.750  0.442  0.885  0.37

Entry 24:
Crystalline CdSbRu at its relaxed geometry. Source: Alexandria, functional GGA-PBE.

Properties
**Symmetry**: P3m1 (156)
**ΔE to the lowest computed polymorph**: 0.076 eV per atom
**ΔE_f (raw)**: 0.14 eV per atom

a b c (Å): 3.237 3.237 6.935
angles (deg): 90.00 90.00 120.00
Sites, in units of the cell vectors:
Ru  0.333  0.667  0.349
Sb  0.667  0.333  0.614
Cd  0.000  0.000  0.037

Number 1: uncorrected energy -23.4 eV for the cell shown. Number 2: uncorrected energy -71.5 eV for the cell shown. Number 3: uncorrected energy -25.3 eV for the cell shown. Number 4: uncorrected energy -21.8 eV for the cell shown. Number 5: uncorrected energy -21.4 eV for the cell shown. Number 6: uncorrected energy -69.6 eV for the cell shown. Number 7: uncorrected energy -32.3 eV for the cell shown. Number 8: uncorrected energy -38.0 eV for the cell shown. Number 9: uncorrected energy -24.8 eV for the cell shown. Number 10: uncorrected energy -58.2 eV for the cell shown. Number 11: uncorrected energy -54.2 eV for the cell shown. Number 12: uncorrected energy -99.7 eV for the cell shown. Number 13: uncorrected energy -10.7 eV for the cell shown. Number 14: uncorrected energy -62.3 eV for the cell shown. Number 15: uncorrected energy -15.2 eV for the cell shown. Number 16: uncorrected energy -175.0 eV for the cell shown. Number 17: uncorrected energy -21.6 eV for the cell shown. Number 18: uncorrected energy -50.0 eV for the cell shown. Number 19: uncorrected energy -21.8 eV for the cell shown. Number 20: uncorrected energy -41.8 eV for the cell shown. Number 21: uncorrected energy -38.9 eV for the cell shown. Number 22: uncorrected energy -16.9 eV for the cell shown. Number 23: uncorrected energy -32.4 eV for the cell shown. Number 24: uncorrected energy -13.9 eV for the cell shown.